A relaxed KSi2Ru crystal, computed with PBE.

```
4
Lattice="4.0594 0.0000 0.0000 0.0000 4.0594 0.0000 0.0000 0.0000 4.2901" Properties=species:S:1:pos:R:3 pbc="T T T"
K 0.0000 0.0000 0.0000
Si 0.0000 2.0297 2.1451
Si 2.0297 0.0000 2.1451
Ru 2.0297 2.0297 0.0000
```

Computed properties:
As for the raw formation energy: 1.010 eV per atom. The calculation puts the energy above the most stable polymorph in this dataset at 1110.5 meV/atom. For the total energy, the calculation gives -4.29 eV per atom.